(1)
Here is a relaxed structure of BaNbO3 from the Alexandria database. Energies are from PBE-GGA.

Cell: 4.959 4.959 7.626 Å, 71.02 71.02 90.00°
Site moments in Bohr magnetons follow the coordinates.
Sites, in units of the cell vectors:
O  0.097  0.826  0.806  -0.01
Ba  0.864  0.364  0.271  0.02
O  0.097  0.368  0.806  -0.01
Nb  0.250  0.750  0.500  1.38
Ba  0.636  0.136  0.729  0.03
O  0.174  0.903  0.194  -0.01
O  0.719  0.719  0.563  0.06
Nb  0.000  0.000  0.000  0.26
O  0.281  0.281  0.437  0.01
O  0.632  0.903  0.194  0.00

Its space group is I-4m2 (119).

***

(2)
Here is a relaxed structure of NdTmSn2 from the Alexandria database. Energies are from PBE-GGA.

Cell: 4.554 4.341 6.197 Å, 90.00 111.55 90.00°
Sites, in units of the cell vectors:
Nd  0.448  0.500  0.435
Sn  0.990  0.000  0.520
Sn  0.176  0.500  0.890
Tm  0.717  0.000  0.973

Its space group is Amm2 (38). For the energy of formation, the calculation gives -709 meV per atom.

***

(3)
Here is a relaxed structure of CeNiH6Rh from the Alexandria database. Energies are from PBE-GGA.

Cell: 4.606 4.606 4.175 Å, 90.00 90.00 60.00°
Site moments in Bohr magnetons follow the coordinates.
Sites, in units of the cell vectors:
H  0.506  0.987  0.757  0.00
H  0.987  0.507  0.243  0.00
H  0.506  0.506  0.757  0.00
Ni  0.667  0.667  0.500  -0.07
H  0.506  0.506  0.243  0.00
H  0.506  0.987  0.243  0.00
Ce  0.000  0.000  0.000  0.46
H  0.987  0.506  0.757  0.00
Rh  0.333  0.333  0.500  -0.06

Its space group is P-6m2 (187).

***

(4)
Here is a relaxed structure of AcSmY2Se6 from the Alexandria database. Energies are from PBE-GGA.

Cell: 7.436 7.436 7.811 Å, 61.57 61.58 60.00°
Sites, in units of the cell vectors:
Y  0.011  0.012  0.965
Se  0.150  0.375  0.744
Ac  0.805  0.805  0.585
Se  0.375  0.731  0.744
Se  0.620  0.231  0.243
Sm  0.315  0.315  0.054
Se  0.731  0.150  0.744
Se  0.231  0.905  0.243
Y  0.517  0.517  0.450
Se  0.905  0.620  0.243

Its space group is R3 (146).

***

Number 1: E -7.170 eV/atom. Number 2: E -5.021 eV/atom. Number 3: E -4.716 eV/atom. Number 4: E -6.153 eV/atom.